An optimized crystal structure of Ca2NbOsO6. Source: Alexandria via LeMat-Bulk, functional PBE.

Cell: 4.0319 5.6738 5.6738 Å, 90.00 90.00 90.00°
Last column: nearest neighbours and their distance in Å.
Element x y z (fractional)
O 0.6779 0.7527 0.2473  1 Nb 1.99, 1 Os 2.03
O 0.6779 0.2473 0.7527  1 Nb 1.99, 1 Os 2.03
O 0.6779 0.2473 0.2473  1 Nb 1.99, 1 Os 2.03
Ca 0.0459 0.5000 0.0000  4 O 2.50
Ca 0.0459 0.0000 0.5000  4 O 2.50
Nb 0.6397 0.0000 0.0000  6 O 1.95-2.08
O 0.6779 0.7527 0.7527  1 Nb 1.99, 1 Os 2.03
Os 0.6733 0.5000 0.5000  6 O 2.01-2.03
O 0.1740 0.5000 0.5000  2 Os 2.01-2.02
O 0.1564 0.0000 0.0000  2 Nb 1.95-2.08

Results
Calculated density = 5.876 g/cm3
D(E_F) = 0.384 states/eV/atom
Uncorrected energy = -7.6890 eV per atom